Entry 1:
# LiTlSbTe2

An optimized crystal structure of LiTlSbTe2 (PBE-GGA, the Alexandria database).

Excess energy over the best structure of this formula in the dataset = 781.5 meV per atom
Raw formation energy = 0.452 eV/atom

Geometry as CIF:
```
data_LiTlSbTe2
_space_group_name_H-M_alt 'P 1'
_space_group_IT_number 1
_space_group_name_Hall 'P 1'
_cell_length_a 5.944
_cell_length_b 5.944
_cell_length_c 5.656
_cell_angle_alpha 90.00
_cell_angle_beta 90.00
_cell_angle_gamma 90.00
loop_
_atom_site_label
_atom_site_type_symbol
_atom_site_fract_x
_atom_site_fract_y
_atom_site_fract_z
_atom_site_occupancy
Sb1 Sb 0.000 0.000 0.500 1
Tl1 Tl 0.000 0.000 0.000 1
Te1 Te 0.000 0.500 0.000 1
Te2 Te 0.500 0.000 0.000 1
Li1 Li 0.500 0.500 0.500 1
```

=====

Entry 2:
# LiTlSb2Te

An optimized crystal structure of LiTlSb2Te (PBE-GGA, the Alexandria database).

Excess energy over the best structure of this formula in the dataset = 0.0 meV per atom
Raw formation energy = 0.160 eV/atom

Geometry as CIF:
```
data_LiTlSb2Te
_space_group_name_H-M_alt 'P 1'
_space_group_IT_number 1
_space_group_name_Hall 'P 1'
_cell_length_a 5.113
_cell_length_b 5.113
_cell_length_c 5.457
_cell_angle_alpha 90.00
_cell_angle_beta 90.00
_cell_angle_gamma 90.00
loop_
_atom_site_label
_atom_site_type_symbol
_atom_site_fract_x
_atom_site_fract_y
_atom_site_fract_z
_atom_site_occupancy
Sb1 Sb 0.000 0.500 0.000 1
Sb2 Sb 0.500 0.000 0.000 1
Tl1 Tl 0.500 0.500 0.500 1
Te1 Te 0.000 0.000 0.500 1
Li1 Li 0.000 0.000 0.000 1
```

=====

Entry 3:
# LiTlSb2Te

An optimized crystal structure of LiTlSb2Te (PBE-GGA, the Alexandria database).

Excess energy over the best structure of this formula in the dataset = 434.8 meV per atom
Raw formation energy = 0.595 eV/atom

Geometry as CIF:
```
data_LiTlSb2Te
_space_group_name_H-M_alt 'P 1'
_space_group_IT_number 1
_space_group_name_Hall 'P 1'
_cell_length_a 5.726
_cell_length_b 5.726
_cell_length_c 5.993
_cell_angle_alpha 90.00
_cell_angle_beta 90.00
_cell_angle_gamma 90.00
loop_
_atom_site_label
_atom_site_type_symbol
_atom_site_fract_x
_atom_site_fract_y
_atom_site_fract_z
_atom_site_occupancy
Sb1 Sb 0.000 0.500 0.000 1
Sb2 Sb 0.500 0.000 0.000 1
Tl1 Tl 0.000 0.000 0.000 1
Te1 Te 0.000 0.000 0.500 1
Li1 Li 0.500 0.500 0.500 1
```

=====

Entry 4:
# LiTlSbTe2

An optimized crystal structure of LiTlSbTe2 (PBE-GGA, the Alexandria database).

Excess energy over the best structure of this formula in the dataset = 0.0 meV per atom
Raw formation energy = -0.330 eV/atom

Geometry as CIF:
```
data_LiTlSbTe2
_space_group_name_H-M_alt 'P 1'
_space_group_IT_number 1
_space_group_name_Hall 'P 1'
_cell_length_a 4.196
_cell_length_b 8.243
_cell_length_c 8.814
_cell_angle_alpha 90.02
_cell_angle_beta 90.00
_cell_angle_gamma 90.00
loop_
_atom_site_label
_atom_site_type_symbol
_atom_site_fract_x
_atom_site_fract_y
_atom_site_fract_z
_atom_site_occupancy
Li1 Li 0.000 0.000 0.000 1
Li2 Li 0.000 0.000 0.500 1
Tl1 Tl 0.002 0.500 0.750 1
Tl2 Tl 0.998 0.500 0.250 1
Sb1 Sb 0.500 0.000 0.250 1
Sb2 Sb 0.500 0.000 0.750 1
Te1 Te 0.500 0.742 0.000 1
Te2 Te 0.500 0.258 0.500 1
Te3 Te 0.500 0.742 0.500 1
Te4 Te 0.500 0.258 0.000 1
```

=====

Entry 5:
# Li2TmSbTe4

An optimized crystal structure of Li2TmSbTe4 (PBE-GGA, the Alexandria database).

Raw formation energy = -0.850 eV/atom

Geometry as CIF:
```
data_Li2TmSbTe4
_space_group_name_H-M_alt 'P 1'
_space_group_IT_number 1
_space_group_name_Hall 'P 1'
_cell_length_a 4.325
_cell_length_b 7.529
_cell_length_c 7.455
_cell_angle_alpha 109.61
_cell_angle_beta 90.00
_cell_angle_gamma 90.00
loop_
_atom_site_label
_atom_site_type_symbol
_atom_site_fract_x
_atom_site_fract_y
_atom_site_fract_z
_atom_site_occupancy
Li1 Li 0.500 0.000 0.500 1
Li2 Li 0.000 0.500 0.500 1
Tm1 Tm 0.500 0.500 0.000 1
Sb1 Sb 0.000 0.000 0.000 1
Te1 Te 0.500 0.254 0.255 1
Te2 Te 0.500 0.746 0.745 1
Te3 Te 0.000 0.250 0.748 1
Te4 Te 0.000 0.750 0.252 1
```

=====

Entry 6:
# Li3U3SbTe8

An optimized crystal structure of Li3U3SbTe8 (PBE-GGA, the Alexandria database).

Raw formation energy = -0.644 eV/atom

Geometry as CIF:
```
data_Li3U3SbTe8
_space_group_name_H-M_alt 'P 1'
_space_group_IT_number 1
_space_group_name_Hall 'P 1'
_cell_length_a 8.682
_cell_length_b 8.682
_cell_length_c 8.686
_cell_angle_alpha 120.00
_cell_angle_beta 90.00
_cell_angle_gamma 120.00
loop_
_atom_site_label
_atom_site_type_symbol
_atom_site_fract_x
_atom_site_fract_y
_atom_site_fract_z
_atom_site_occupancy
Li1 Li 0.000 0.000 0.000 1
Li2 Li 0.000 0.500 0.000 1
Li3 Li 0.500 0.500 0.000 1
U1 U 0.500 0.000 0.500 1
U2 U 0.500 0.500 0.500 1
U3 U 0.000 0.500 0.500 1
Sb1 Sb 0.000 0.000 0.500 1
Te1 Te 0.246 0.493 0.239 1
Te2 Te 0.754 0.507 0.761 1
Te3 Te 0.747 0.495 0.244 1
Te4 Te 0.253 0.505 0.756 1
Te5 Te 0.747 0.996 0.244 1
Te6 Te 0.253 0.004 0.756 1
Te7 Te 0.249 0.996 0.244 1
Te8 Te 0.751 0.004 0.756 1
```

=====

Number 1: magnetization 0.93 μB per formula unit, mass density 4.89 Mg/m³. Number 2: magnetization 0.00 μB per formula unit, mass density 6.78 Mg/m³. Number 3: magnetization 1.00 μB per formula unit, mass density 4.92 Mg/m³. Number 4: magnetization 0.00 μB per formula unit, mass density 6.41 Mg/m³. Number 5: magnetization 0.00 μB per formula unit, mass density 5.92 Mg/m³. Number 6: magnetization 8.00 μB per formula unit, mass density 6.73 Mg/m³.